[1]
Dy4ScTe5 | the Alexandria database | PBE | relaxed; energy above the lowest structure with this stoichiometry = 0.004 eV per atom; DFT total energy = -5.284 eV/atom; symmetry = No. 79; total magnetization = 0.00 μB per cell; energy relative to the elements, uncorrected = -1239 meV/atom
1.0
5.496 0.000 2.651
2.748 6.833 1.325
-0.220 0.000 7.480
Dy Sc Te
4 1 5
direct
0.411 0.404 0.776
0.815 0.776 0.596
0.186 0.224 0.404
0.590 0.596 0.224
0.004 0.000 0.000
0.895 0.391 0.821
0.286 0.821 0.609
0.716 0.179 0.391
0.106 0.609 0.179
0.503 0.000 0.000

[2]
DySc2Te4 | the Alexandria database | PBE | relaxed; energy above the lowest structure with this stoichiometry = 0.040 eV per atom; DFT total energy = -5.502 eV/atom; symmetry = No. 63; total magnetization = 0.00 μB per cell; energy relative to the elements, uncorrected = -1241 meV/atom
1.0
-2.652 -2.544 -1.912
6.327 -0.763 -3.272
3.493 -10.575 9.223
Dy Sc Te
2 4 8
direct
0.627 0.253 0.750
0.373 0.747 0.250
0.129 0.257 0.434
0.871 0.743 0.934
0.129 0.257 0.066
0.871 0.743 0.566
0.775 0.549 0.118
0.775 0.549 0.382
0.225 0.451 0.882
0.225 0.451 0.618
0.960 0.920 0.750
0.040 0.080 0.250
0.500 0.000 0.000
0.500 0.000 0.500

[3]
DySc2Te | the Alexandria database | PBE | relaxed; energy above the lowest structure with this stoichiometry = 0.215 eV per atom; DFT total energy = -5.526 eV/atom; symmetry = No. 160; total magnetization = 0.00 μB per cell; energy relative to the elements, uncorrected = -425 meV/atom
1.0
-1.552 2.911 -1.780
0.255 0.269 -3.730
-8.223 -3.626 -2.708
Dy Sc Te
1 2 1
direct
0.500 0.500 0.499
0.071 0.071 0.786
0.262 0.262 0.214
0.666 0.666 0.001

[4]
DyScTe3 | the Alexandria database | PBE | relaxed; energy above the lowest structure with this stoichiometry = 0.000 eV per atom; DFT total energy = -5.358 eV/atom; symmetry = No. 11; total magnetization = 0.00 μB per cell; energy relative to the elements, uncorrected = -1286 meV/atom
1.0
-2.583 2.095 2.651
0.364 -5.555 4.743
8.391 6.316 3.184
Dy Sc Te
2 2 6
direct
0.250 0.869 0.349
0.750 0.131 0.651
0.250 0.729 0.990
0.750 0.271 0.010
0.250 0.038 0.850
0.750 0.962 0.150
0.250 0.471 0.162
0.750 0.529 0.838
0.250 0.262 0.500
0.750 0.738 0.500